VCrGaO6 after structural relaxation, computed with GGA+U.

Calculated values
ρ: 4.89 Mg/m³
VASP energy: -6.985 eV per atom
total magnetic moment: 2.0 μB/f.u.

Unit cell a=4.5376 b=4.5376 c=8.8680 alpha=90.00 beta=90.00 gamma=90.00
Element x y z (fractional)
V1 0.0000 0.0000 0.0000
V2 0.5000 0.5000 0.5000
Cr1 0.0000 0.0000 0.3299
Cr2 0.5000 0.5000 0.8299
Ga1 0.0000 0.0000 0.6615
Ga2 0.5000 0.5000 0.1615
O1 0.1916 0.1916 0.1552
O2 0.2004 0.2004 0.8334
O3 0.2024 0.2024 0.4906
O4 0.2976 0.7024 0.9906
O5 0.2996 0.7004 0.3334
O6 0.3084 0.6916 0.6552
O7 0.6916 0.3084 0.6552
O8 0.7004 0.2996 0.3334
O9 0.7024 0.2976 0.9906
O10 0.7976 0.7976 0.4906
O11 0.7996 0.7996 0.8334
O12 0.8084 0.8084 0.1552